Record 1
The following is a PBE calculation of a relaxed MnOs4Ru2 crystal, from Alexandria.

Cell and atoms, written as CIF:
```
data_MnOs4Ru2
_cell_length_a 13.042
_cell_length_b 2.716
_cell_length_c 6.408
_cell_angle_alpha 90.00
_cell_angle_beta 118.80
_cell_angle_gamma 90.00
_symmetry_space_group_name_H-M 'C 1 2/m 1'
_symmetry_Int_Tables_number 12
_symmetry_space_group_name_Hall '-C 2y'
loop_
_atom_site_label
_atom_site_type_symbol
_atom_site_fract_x
_atom_site_fract_y
_atom_site_fract_z
_atom_site_occupancy
Mn1 Mn 0.000 0.000 0.000 1
Os1 Os 0.057 0.500 0.729 1
Os2 Os 0.149 0.000 0.471 1
Ru1 Ru 0.212 0.000 0.122 1
```

Results
Density of states at the Fermi level   0.8543 states/eV per atom
Energy of formation   0.1755 eV per atom

=====

Record 2
The following is a PBE calculation of a relaxed Tb3Nd6Ho2Er crystal, from Alexandria.

Cell and atoms, written as CIF:
```
data_Tb3Nd6Ho2Er
_cell_length_a 6.271
_cell_length_b 10.861
_cell_length_c 11.858
_cell_angle_alpha 90.00
_cell_angle_beta 100.12
_cell_angle_gamma 90.00
_symmetry_space_group_name_H-M 'C 1 2/m 1'
_symmetry_Int_Tables_number 12
_symmetry_space_group_name_Hall '-C 2y'
loop_
_atom_site_label
_atom_site_type_symbol
_atom_site_fract_x
_atom_site_fract_y
_atom_site_fract_z
_atom_site_occupancy
Tb1 Tb 0.000 0.000 0.000 1
Tb2 Tb 0.000 0.333 0.000 1
Nd1 Nd 0.250 0.000 0.749 1
Nd2 Nd 0.250 0.167 0.251 1
Ho1 Ho 0.000 0.167 0.500 1
Er1 Er 0.000 0.500 0.500 1
```

Results
Density of states at the Fermi level   1.1344 states/eV per atom
Energy of formation   0.0115 eV per atom

=====

Record 3
The following is a PBE calculation of a relaxed Re2Ni3 crystal, from Alexandria.

Cell and atoms, written as CIF:
```
data_Re2Ni3
_cell_length_a 4.0766
_cell_length_b 4.0766
_cell_length_c 5.0339
_cell_angle_alpha 90.00
_cell_angle_beta 90.00
_cell_angle_gamma 120.00
_symmetry_space_group_name_H-M 'P -3 m 1'
_symmetry_Int_Tables_number 164
_symmetry_space_group_name_Hall '-P 3 2"'
loop_
_atom_site_label
_atom_site_type_symbol
_atom_site_fract_x
_atom_site_fract_y
_atom_site_fract_z
_atom_site_occupancy
Re1 Re 0.3333 0.6667 0.3726 1
Ni1 Ni 0.0000 0.0000 0.5000 1
Ni2 Ni 0.3333 0.6667 0.8873 1
```

Results
Density of states at the Fermi level   1.1740 states/eV per atom
Energy of formation   0.4753 eV per atom

=====

Record 4
The following is a PBE calculation of a relaxed Sc8Co2Tc crystal, from Alexandria.

Cell and atoms, written as CIF:
```
data_Sc8Co2Tc
_cell_length_a 15.757
_cell_length_b 4.592
_cell_length_c 6.298
_cell_angle_alpha 90.00
_cell_angle_beta 108.36
_cell_angle_gamma 90.00
_symmetry_space_group_name_H-M 'C 1 2/m 1'
_symmetry_Int_Tables_number 12
_symmetry_space_group_name_Hall '-C 2y'
loop_
_atom_site_label
_atom_site_type_symbol
_atom_site_fract_x
_atom_site_fract_y
_atom_site_fract_z
_atom_site_occupancy
Sc1 Sc 0.033 0.000 0.293 1
Sc2 Sc 0.098 0.500 0.963 1
Sc3 Sc 0.172 0.500 0.470 1
Sc4 Sc 0.196 0.000 0.811 1
Co1 Co 0.185 0.000 0.193 1
Tc1 Tc 0.000 0.500 0.500 1
```

Results
Density of states at the Fermi level   1.1239 states/eV per atom
Energy of formation   -0.2058 eV per atom

=====

Record 5
The following is a PBE calculation of a relaxed Hf2V2Ag crystal, from Alexandria.

Cell and atoms, written as CIF:
```
data_Hf2V2Ag
_cell_length_a 6.981
_cell_length_b 6.981
_cell_length_c 3.727
_cell_angle_alpha 90.00
_cell_angle_beta 90.00
_cell_angle_gamma 90.00
_symmetry_space_group_name_H-M 'P 4/m b m'
_symmetry_Int_Tables_number 127
_symmetry_space_group_name_Hall '-P 4 2ab'
loop_
_atom_site_label
_atom_site_type_symbol
_atom_site_fract_x
_atom_site_fract_y
_atom_site_fract_z
_atom_site_occupancy
Hf1 Hf 0.174 0.326 0.000 1
V1 V 0.119 0.619 0.500 1
Ag1 Ag 0.000 0.000 0.500 1
```

Results
Density of states at the Fermi level   1.0272 states/eV per atom
Energy of formation   0.2051 eV per atom

=====

Record 6
The following is a PBE calculation of a relaxed MnNiIr2 crystal, from Alexandria.

Cell and atoms, written as CIF:
```
data_MnNiIr2
_cell_length_a 2.6744
_cell_length_b 2.6744
_cell_length_c 25.3244
_cell_angle_alpha 90.00
_cell_angle_beta 90.00
_cell_angle_gamma 120.00
_symmetry_space_group_name_H-M 'R -3 m'
_symmetry_Int_Tables_number 166
_symmetry_space_group_name_Hall '-R 3 2"'
loop_
_atom_site_label
_atom_site_type_symbol
_atom_site_fract_x
_atom_site_fract_y
_atom_site_fract_z
_atom_site_occupancy
Mn1 Mn 0.0000 0.0000 0.0000 1
Ni1 Ni 0.0000 0.0000 0.5000 1
Ir1 Ir 0.0000 0.0000 0.2515 1
```

Results
Density of states at the Fermi level   1.4953 states/eV per atom
Energy of formation   -0.0261 eV per atom

=====

Record 7
The following is a PBE calculation of a relaxed Cs2TlRe2O7 crystal, from Alexandria.

Cell and atoms, written as CIF:
```
data_Cs2TlRe2O7
_cell_length_a 3.976
_cell_length_b 3.976
_cell_length_c 24.734
_cell_angle_alpha 90.00
_cell_angle_beta 90.00
_cell_angle_gamma 90.00
_symmetry_space_group_name_H-M 'I 4/m m m'
_symmetry_Int_Tables_number 139
_symmetry_space_group_name_Hall '-I 4 2'
loop_
_atom_site_label
_atom_site_type_symbol
_atom_site_fract_x
_atom_site_fract_y
_atom_site_fract_z
_atom_site_occupancy
Cs1 Cs 0.000 0.000 0.185 1
Tl1 Tl 0.000 0.000 0.000 1
Re1 Re 0.000 0.000 0.418 1
O1 O 0.000 0.000 0.342 1
O2 O 0.000 0.000 0.500 1
O3 O 0.000 0.500 0.082 1
```

Results
Formation energy from raw total energies   -1.436 eV/atom
Density of states at the Fermi level   0.2983 states/eV per atom

=====

Record 8
The following is a PBE calculation of a relaxed Dy8Ho3Th4 crystal, from Alexandria.

Cell and atoms, written as CIF:
```
data_Dy8Ho3Th4
_cell_length_a 13.268
_cell_length_b 12.859
_cell_length_c 6.714
_cell_angle_alpha 90.00
_cell_angle_beta 120.09
_cell_angle_gamma 90.00
_symmetry_space_group_name_H-M 'C 1 2/m 1'
_symmetry_Int_Tables_number 12
_symmetry_space_group_name_Hall '-C 2y'
loop_
_atom_site_label
_atom_site_type_symbol
_atom_site_fract_x
_atom_site_fract_y
_atom_site_fract_z
_atom_site_occupancy
Dy1 Dy 0.000 0.143 0.000 1
Dy2 Dy 0.000 0.245 0.500 1
Dy3 Dy 0.236 0.000 0.001 1
Dy4 Dy 0.241 0.000 0.487 1
Ho1 Ho 0.000 0.000 0.500 1
Ho2 Ho 0.250 0.250 0.500 1
Th1 Th 0.000 0.500 0.000 1
Th2 Th 0.000 0.500 0.500 1
Th3 Th 0.250 0.250 0.000 1
```

Results
Density of states at the Fermi level   1.8917 states/eV per atom
Energy of formation   0.4275 eV per atom

=====

Record 9
The following is a PBE calculation of a relaxed CaAl4P crystal, from Alexandria.

Cell and atoms, written as CIF:
```
data_CaAl4P
_cell_length_a 7.767
_cell_length_b 7.767
_cell_length_c 7.767
_cell_angle_alpha 90.00
_cell_angle_beta 90.00
_cell_angle_gamma 90.00
_symmetry_space_group_name_H-M 'F -4 3 m'
_symmetry_Int_Tables_number 216
_symmetry_space_group_name_Hall 'F -4 2 3'
loop_
_atom_site_label
_atom_site_type_symbol
_atom_site_fract_x
_atom_site_fract_y
_atom_site_fract_z
_atom_site_occupancy
Ca1 Ca 0.000 0.000 0.000 1
Al1 Al 0.125 0.125 0.375 1
P1 P 0.250 0.250 0.750 1
```

Results
Density of states at the Fermi level   0.7503 states/eV per atom
Energy of formation   0.0748 eV per atom

=====

Question: What is the density of states at the Fermi level in the sixth record?
Answer: 1.4953 states/eV per atom